Here is a relaxed La2PaAg crystal from the Alexandria database. Energies are from PBE. Values from VASP.

Output
DFT formation energy = 0.269 eV/atom
E = -21.1 eV for the cell shown
total magnetic moment = 0.000 μB per cell
crystal system = trigonal
distance to the lowest polymorph of the same formula = 270 meV per atom

Geometry as Quantum ESPRESSO input:
```
&SYSTEM
  ibrav = 0, nat = 4, ntyp = 3
/
ATOMIC_SPECIES
Pa 231.04 Pa.upf
La 138.91 La.upf
Ag 107.87 Ag.upf
CELL_PARAMETERS angstrom
-0.995 -0.666 3.041
-1.804 -2.663 0.583
8.890 -7.361 3.051
ATOMIC_POSITIONS crystal
Pa 0.000 0.000 0.000
La 0.089 0.089 0.732
La 0.911 0.911 0.268
Ag 0.500 0.500 0.500
```

***

Here is a relaxed La2PaAg crystal from the Alexandria database. Energies are from PBE. Values from VASP.

Output
DFT formation energy = 0.083 eV/atom
E = -21.9 eV for the cell shown
total magnetic moment = 0.000 μB per cell
crystal system = tetragonal
distance to the lowest polymorph of the same formula = 84 meV per atom

Geometry as Quantum ESPRESSO input:
```
&SYSTEM
  ibrav = 0, nat = 4, ntyp = 3
/
ATOMIC_SPECIES
La 138.91 La.upf
Pa 231.04 Pa.upf
Ag 107.87 Ag.upf
CELL_PARAMETERS angstrom
-3.027 -0.405 1.387
2.436 -2.299 4.646
0.389 5.200 2.369
ATOMIC_POSITIONS crystal
La 0.000 0.000 0.500
Pa 0.500 0.500 0.500
Ag 0.500 0.000 0.000
La 0.000 0.500 0.000
```

***

Going through the records in order, we get ρ values of 9.39, 9.31 g/cm3.